This record from the Alexandria database describes TbPrNi2H8 after structural relaxation. The functional is PBE.

Calculated values
SG = R-3m, No. 166
total DFT energy (no corrections) = -51.496 eV per cell
magnetization = 0.0 μB per formula unit

Cell lengths 4.4847, 4.4847, 6.9244 Å; angles 71.11, 71.11, 60.00 degrees
Sites, in units of the cell vectors:
Tb 0.0000 0.0000 0.0000
Pr 0.5000 0.5000 0.5000
Ni 0.2450 0.2450 0.2651
Ni 0.7550 0.7550 0.7349
H 0.1617 0.1617 0.5149
H 0.4615 0.4615 0.1665
H 0.8383 0.8383 0.4851
H 0.9105 0.4615 0.1665
H 0.0895 0.5385 0.8335
H 0.4615 0.9105 0.1665
H 0.5385 0.0895 0.8335
H 0.5385 0.5385 0.8335